Record 1
The following is a DFT calculation (GGA-PBE) of crystalline PuNpMn2 at its relaxed geometry.

Cell: 4.685 4.685 4.685 Å, 60.00 60.00 60.00°
Fractional coordinates of all 4 atoms:
1 Mn 0.250 0.250 0.250
2 Np 0.500 0.500 0.500
3 Mn 0.750 0.750 0.750
4 Pu 0.000 0.000 0.000

Calculated values
Its space group is No. 225. For the energy of formation from the pure elements, the calculation gives 0.20 eV per atom. The value obtained for the density of states at the Fermi level is 5.45 states/eV per cell.

Record 2
The following is a DFT calculation (GGA-PBE) of crystalline TmScHg2 at its relaxed geometry.

Cell: 3.591 3.591 7.218 Å, 90.00 90.00 90.00°
Fractional coordinates of all 4 atoms:
1 Hg 0.000 0.000 0.236
2 Tm 0.500 0.500 0.500
3 Hg 0.000 0.000 0.764
4 Sc 0.500 0.500 0.000

Calculated values
Its space group is No. 123. As for the offset from the most stable computed form: 0 meV per atom. For the energy of formation from the pure elements, the calculation gives -0.45 eV per atom. The value obtained for the density of states at the Fermi level is 3.50 states/eV per cell.

Q: Which V values were calculated for the entries above? A: 18.18 23.27, in A^3/atom.